# Sc3Tl3Ag2 | Alexandria | PBE-GGA | optimized geometry
# Total DFT energy (no corrections): -4.175 eV/atom
# DOS at the Fermi energy: 0.812 states/eV per atom
data_Sc3Tl3Ag2
_space_group_name_H-M_alt 'P -6 2 m'
_space_group_IT_number 189
_space_group_name_Hall 'P -6 -2'
_cell_length_a 7.7640
_cell_length_b 7.7640
_cell_length_c 3.4397
_cell_angle_alpha 90.00
_cell_angle_beta 90.00
_cell_angle_gamma 120.00
loop_
_atom_site_label
_atom_site_fract_x
_atom_site_fract_y
_atom_site_fract_z
Sc1 0.0000 0.6039 0.0000
Tl1 0.0000 0.2441 0.5000
Ag1 0.3333 0.6667 0.5000